[1]
VASP calculation (GGA+U) on an optimized crystal structure of CoTePtO.

Lattice parameters (Å, degrees): 6.3776 13.8039 6.4787 90.00 90.00 90.00
With the nearest neighbours (Å) after each atom.
Space group Pbca (No. 61)
Unique sites:
Co 0.0475 0.2297 0.1364 x8  3 O 1.98-2.08
Te 0.0109 0.5485 0.7521 x8  3 Pt 2.57-2.72
Pt 0.2250 0.5857 0.3968 x8  1 O 2.26
O 0.2249 0.2474 0.3895 x8  3 Co 1.98-2.08

Results
M_tot	23.06	μB/cell
excess energy over the best structure of this formula in the dataset	3.14	kcal/mol of atoms
volume	17.82	A^3/atom
calculated density	9.3	g cm⁻³
total energy	-5.07	eV/atom

---

[2]
VASP calculation (GGA+U) on an optimized crystal structure of CoTePtO.

Lattice parameters (Å, degrees): 3.8346 3.8346 8.8931 90.00 90.00 90.00
With the nearest neighbours (Å) after each atom.
Space group P4/nmm (No. 129, origin choice 2)
Unique sites:
Co 0.2500 0.2500 0.0588 x2  4 O 1.99
Te 0.2500 0.2500 0.6860 x2  5 Pt 2.67-2.79
Pt 0.2500 0.2500 0.3855 x2  5 Te 2.67-2.79, 1 Co 2.91
O 0.2500 0.7500 0.0000 x2  4 Co 1.99

Results
M_tot	5.74	μB/cell
excess energy over the best structure of this formula in the dataset	0.28	kcal/mol of atoms
volume	16.35	A^3/atom
calculated density	10.1	g cm⁻³
total energy	-5.19	eV/atom

---

[3]
VASP calculation (GGA+U) on an optimized crystal structure of CoTePtO.

Lattice parameters (Å, degrees): 6.7571 6.8487 5.9741 90.00 90.00 90.00
With the nearest neighbours (Å) after each atom.
Space group Pca2_1 (No. 29)
Unique sites:
Co 0.1472 0.2222 0.0000 x4  1 O 1.90
Te 0.0152 0.8600 0.0955 x4  3 Co 2.61-2.71, 2 Pt 2.64-2.79
Pt 0.2456 0.6245 0.3743 x4  2 O 2.03-2.06
O 0.0445 0.6109 0.6323 x4  1 Co 1.90, 2 Pt 2.03-2.06

Results
M_tot	9.70	μB/cell
excess energy over the best structure of this formula in the dataset	8.76	kcal/mol of atoms
volume	17.28	A^3/atom
calculated density	9.6	g cm⁻³
total energy	-4.83	eV/atom

---

[4]
VASP calculation (GGA+U) on an optimized crystal structure of CoTePtO.

Lattice parameters (Å, degrees): 7.3398 6.8647 5.6451 90.00 90.00 90.00
With the nearest neighbours (Å) after each atom.
Space group Pca2_1 (No. 29)
Unique sites:
Co 0.2501 0.0116 0.0000 x4  2 O 1.88
Te 0.0875 0.3396 0.2530 x4  4 Pt 2.59-2.86, 1 Co 2.90
Pt 0.0622 0.2902 0.7517 x4  1 O 2.07
O 0.1923 0.8410 0.2500 x4  2 Co 1.88, 1 Pt 2.07

Results
M_tot	10.10	μB/cell
excess energy over the best structure of this formula in the dataset	1.77	kcal/mol of atoms
volume	17.78	A^3/atom
calculated density	9.3	g cm⁻³
total energy	-5.13	eV/atom

---

Which of these has the highest M_tot?
number 1